This record from Alexandria via LeMat-Bulk describes a relaxed Cr2MoIr crystal. The functional is GGA-PBE.

POSCAR file:
```
Cr2MoIr
1.0
4.301 0.000 0.000
2.151 3.725 0.000
2.151 1.242 3.512
Cr Ir Mo
2 1 1
Direct
0.000 0.000 0.000
0.250 0.250 0.250
0.500 0.500 0.500
0.750 0.750 0.750
```

Summary:
Formation energy from the elements: 0.1031 eV per atom
Crystal system: cubic



This record from Alexandria via LeMat-Bulk describes a relaxed CrMoIr2 crystal. The functional is GGA-PBE.

POSCAR file:
```
CrMoIr2
1.0
-2.601 -1.898 2.912
2.110 -1.510 0.901
1.071 3.383 3.162
Cr Mo Ir
1 1 2
Direct
0.500 0.625 0.798
0.000 0.625 0.462
0.000 0.125 0.943
0.500 0.125 0.298
```

Summary:
Formation energy from the elements: -0.2424 eV per atom
Crystal system: orthorhombic



This record from Alexandria via LeMat-Bulk describes a relaxed CrMoIr crystal. The functional is GGA-PBE.

POSCAR file:
```
CrMoIr
1.0
-1.010 3.737 -1.277
-3.835 1.323 0.399
-0.879 2.913 2.713
Cr Ir Mo
1 1 1
Direct
0.750 0.750 0.750
0.000 0.000 0.000
0.500 0.500 0.500
```

Summary:
Formation energy from the elements: 0.4292 eV per atom
Crystal system: cubic



This record from Alexandria via LeMat-Bulk describes a relaxed CrMoIr2 crystal. The functional is GGA-PBE.

POSCAR file:
```
CrMoIr2
1.0
-2.413 -1.278 -0.137
-0.167 -0.141 4.262
-3.369 9.260 0.174
Cr Mo Ir
2 2 4
Direct
0.540 0.252 0.080
0.460 0.748 0.920
0.294 0.249 0.588
0.706 0.751 0.412
0.844 0.749 0.687
0.156 0.251 0.313
0.074 0.751 0.146
0.926 0.249 0.854
```

Summary:
Formation energy from the elements: -0.2021 eV per atom
Crystal system: monoclinic



This record from Alexandria via LeMat-Bulk describes a relaxed Cr2MoIr crystal. The functional is GGA-PBE.

POSCAR file:
```
Cr2MoIr
1.0
2.658 0.000 0.000
0.000 3.742 0.000
0.000 0.000 5.484
Cr Ir Mo
2 1 1
Direct
0.000 0.000 0.010
0.000 0.000 0.490
0.500 0.500 0.250
0.500 0.500 0.750
```

Summary:
Formation energy from the elements: 0.0939 eV per atom
Crystal system: orthorhombic



This record from Alexandria via LeMat-Bulk describes a relaxed Cr2MoIr crystal. The functional is GGA-PBE.

POSCAR file:
```
Cr2MoIr
1.0
-1.534 2.395 0.199
-2.376 -1.476 -0.555
-0.845 -1.081 6.497
Cr Ir Mo
2 1 1
Direct
0.000 0.000 0.038
0.500 0.500 0.219
0.000 0.000 0.479
0.500 0.500 0.765
```

Summary:
Formation energy from the elements: -0.0070 eV per atom
Crystal system: tetragonal



This record from Alexandria via LeMat-Bulk describes a relaxed Cr4MoIr crystal. The functional is GGA-PBE.

POSCAR file:
```
Cr4MoIr
1.0
4.765 0.000 0.000
2.383 4.127 0.000
2.383 1.376 3.891
Cr Ir Mo
4 1 1
Direct
0.374 0.374 0.374
0.374 0.879 0.374
0.374 0.374 0.879
0.879 0.374 0.374
0.750 0.750 0.750
0.000 0.000 0.000
```

Summary:
Formation energy from the elements: -0.0422 eV per atom
Crystal system: cubic



This record from Alexandria via LeMat-Bulk describes a relaxed CrMoIr crystal. The functional is GGA-PBE.

POSCAR file:
```
CrMoIr
1.0
6.199 0.006 -0.006
5.614 2.627 0.007
0.585 0.115 2.619
Cr Ir Mo
1 1 1
Direct
0.990 0.990 0.010
0.344 0.344 0.656
0.666 0.666 0.334
```

Summary:
Formation energy from the elements: -0.0537 eV per atom
Crystal system: tetragonal



This record from Alexandria via LeMat-Bulk describes a relaxed Cr2MoIr2 crystal. The functional is GGA-PBE.

POSCAR file:
```
Cr2MoIr2
1.0
-1.483 -6.634 2.364
-1.735 -1.997 -6.693
2.557 -0.730 -0.445
Cr Mo Ir
4 2 4
Direct
0.383 0.883 0.000
0.883 0.617 0.000
0.617 0.117 0.000
0.117 0.383 0.000
0.000 0.000 0.000
0.500 0.500 0.000
0.176 0.676 0.500
0.676 0.824 0.500
0.824 0.324 0.500
0.324 0.176 0.500
```

Summary:
Formation energy from the elements: -0.0588 eV per atom
Crystal system: tetragonal



This record from Alexandria via LeMat-Bulk describes a relaxed CrMoIr2 crystal. The functional is GGA-PBE.

POSCAR file:
```
CrMoIr2
1.0
-0.001 4.461 -1.479
-3.982 -2.095 -1.358
-1.198 0.770 2.323
Cr Mo Ir
1 1 2
Direct
0.000 0.500 0.500
0.500 0.000 0.500
0.000 0.000 0.000
0.500 0.500 0.000
```

Summary:
Formation energy from the elements: -0.2068 eV per atom
Crystal system: orthorhombic



This record from Alexandria via LeMat-Bulk describes a relaxed Cr2MoIr crystal. The functional is GGA-PBE.

POSCAR file:
```
Cr2MoIr
1.0
2.702 0.000 0.000
0.000 3.739 0.000
0.000 0.000 5.397
Cr Ir Mo
2 1 1
Direct
0.000 0.000 0.013
0.500 0.500 0.244
0.000 0.000 0.484
0.500 0.500 0.759
```

Summary:
Formation energy from the elements: 0.0820 eV per atom
Crystal system: orthorhombic



This record from Alexandria via LeMat-Bulk describes a relaxed CrMoIr2 crystal. The functional is GGA-PBE.

POSCAR file:
```
CrMoIr2
1.0
3.796 0.000 0.000
0.000 3.796 0.000
1.898 1.898 8.758
Cr Mo Ir
2 2 4
Direct
0.500 0.500 0.000
0.250 0.750 0.500
0.000 0.000 0.000
0.750 0.250 0.500
0.610 0.125 0.250
0.140 0.625 0.250
0.375 0.390 0.750
0.875 0.860 0.750
```

Summary:
Formation energy from the elements: 0.4703 eV per atom
Crystal system: tetragonal



This record from Alexandria via LeMat-Bulk describes a relaxed CrMoIr crystal. The functional is GGA-PBE.

POSCAR file:
```
CrMoIr
1.0
5.443 0.000 0.000
-2.722 4.714 0.000
0.000 0.000 10.892
Mo Cr Ir
6 6 6
Direct
0.500 0.000 0.667
0.000 0.000 0.500
0.000 0.000 0.833
0.000 0.000 0.167
0.500 0.500 0.000
0.000 0.500 0.333
0.390 0.779 0.167
0.779 0.390 0.833
0.610 0.390 0.500
0.610 0.221 0.167
0.390 0.610 0.500
0.221 0.610 0.833
0.500 0.500 0.289
0.000 0.500 0.622
0.500 0.500 0.711
0.000 0.500 0.044
0.500 0.000 0.956
0.500 0.000 0.378
```

Summary:
Formation energy from the elements: 0.4924 eV per atom
Crystal system: hexagonal



This record from Alexandria via LeMat-Bulk describes a relaxed Cr2MoIr crystal. The functional is GGA-PBE.

POSCAR file:
```
Cr2MoIr
1.0
4.741 0.040 0.000
1.737 4.411 0.000
-3.239 -2.226 2.652
Cr Ir Mo
2 1 1
Direct
0.000 0.000 0.000
0.250 0.750 0.500
0.500 0.500 0.000
0.750 0.250 0.500
```

Summary:
Formation energy from the elements: 0.0515 eV per atom
Crystal system: tetragonal



This record from Alexandria via LeMat-Bulk describes a relaxed Cr2MoIr crystal. The functional is GGA-PBE.

POSCAR file:
```
Cr2MoIr
1.0
4.617 0.005 0.000
1.463 4.379 0.000
-3.040 -2.192 2.696
Cr Ir Mo
2 1 1
Direct
0.000 0.000 0.000
0.500 0.500 0.000
0.250 0.750 0.500
0.750 0.250 0.500
```

Summary:
Formation energy from the elements: 0.0847 eV per atom
Crystal system: tetragonal



This record from Alexandria via LeMat-Bulk describes a relaxed CrMoIr2 crystal. The functional is GGA-PBE.

POSCAR file:
```
CrMoIr2
1.0
-1.567 0.312 -2.209
2.037 -2.660 -1.820
-3.386 -3.862 1.855
Cr Mo Ir
1 1 2
Direct
0.500 0.500 0.750
0.500 0.500 0.250
0.000 0.000 0.991
0.000 0.000 0.509
```

Summary:
Formation energy from the elements: -0.2143 eV per atom
Crystal system: orthorhombic



This record from Alexandria via LeMat-Bulk describes a relaxed CrMoIr2 crystal. The functional is GGA-PBE.

POSCAR file:
```
CrMoIr2
1.0
2.726 0.004 0.000
-0.004 2.726 0.000
0.000 0.000 7.693
Cr Ir Mo
1 2 1
Direct
0.500 0.500 0.764
0.000 0.000 0.981
0.500 0.500 0.253
0.000 0.000 0.503
```

Summary:
Formation energy from the elements: -0.0628 eV per atom
Crystal system: tetragonal



This record from Alexandria via LeMat-Bulk describes a relaxed CrMoIr2 crystal. The functional is GGA-PBE.

POSCAR file:
```
CrMoIr2
1.0
-1.573 -2.205 -0.216
1.894 -1.201 -1.533
3.234 -2.921 6.286
Cr Mo Ir
1 1 2
Direct
0.500 0.500 0.750
0.500 0.500 0.250
0.000 0.000 0.985
0.000 0.000 0.515
```

Summary:
Formation energy from the elements: -0.2265 eV per atom
Crystal system: tetragonal



This record from Alexandria via LeMat-Bulk describes a relaxed Cr2MoIr crystal. The functional is GGA-PBE.

POSCAR file:
```
Cr2MoIr
1.0
-3.247 -2.626 0.721
2.636 -3.313 -0.197
0.497 0.216 3.024
Cr Ir Mo
2 1 1
Direct
0.000 0.000 0.000
0.500 0.500 0.000
0.500 0.000 0.500
0.000 0.500 0.500
```

Summary:
Formation energy from the elements: 0.0314 eV per atom
Crystal system: tetragonal



This record from Alexandria via LeMat-Bulk describes a relaxed CrMoIr crystal. The functional is GGA-PBE.

POSCAR file:
```
CrMoIr
1.0
4.269 0.000 0.000
-2.135 3.697 0.000
0.000 0.000 2.682
Cr Ir Mo
1 1 1
Direct
0.000 0.000 0.842
0.667 0.333 0.333
0.333 0.667 0.825
```

Summary:
Formation energy from the elements: 0.0288 eV per atom
Crystal system: trigonal